## Dy2Zn2Ag3 (PBE-GGA)

Data for an optimized crystal structure of Dy2Zn2Ag3.

- space group = Cmmm
- electronic total energy (eV per cell) = -21.9
- M_tot (μB per formula unit) = 0.0
- DFT formation energy (meV/atom) = -224
- ΔE to the lowest computed polymorph (eV per atom) = 0.058

Unit cell a=9.910 b=9.910 c=3.545 alpha=90.00 beta=90.00 gamma=155.36
Positions (direct):
1 Dy 0.155 0.845 0.000
2 Dy 0.845 0.155 0.000
3 Zn 0.285 0.715 0.500
4 Zn 0.715 0.285 0.500
5 Ag 0.000 0.000 0.000
6 Ag 0.428 0.572 0.500
7 Ag 0.572 0.428 0.500

## DyZrZnAg (PBE-GGA)

Data for an optimized crystal structure of DyZrZnAg.

- space group = F-43m
- electronic total energy (eV per cell) = -17.9
- M_tot (μB per formula unit) = 1.1
- DFT formation energy (meV/atom) = -153

Unit cell a=4.956 b=4.956 c=4.956 alpha=60.00 beta=60.00 gamma=60.00
Positions (direct):
1 Dy 0.000 0.000 0.000
2 Zr 0.500 0.500 0.500
3 Zn 0.750 0.750 0.750
4 Ag 0.250 0.250 0.250

## DyZrAg2 (PBE-GGA)

Data for an optimized crystal structure of DyZrAg2.

- space group = Fm-3m
- electronic total energy (eV per cell) = -19.2
- M_tot (μB per formula unit) = 1.3
- DFT formation energy (meV/atom) = -89
- ΔE to the lowest computed polymorph (eV per atom) = 0.025

Unit cell a=5.012 b=5.012 c=5.012 alpha=60.00 beta=60.00 gamma=60.00
Positions (direct):
1 Dy 0.000 0.000 0.000
2 Zr 0.500 0.500 0.500
3 Ag 0.250 0.250 0.250
4 Ag 0.750 0.750 0.750

## DyZr2Ag (PBE-GGA)

Data for an optimized crystal structure of DyZr2Ag.

- space group = R-3m
- electronic total energy (eV per cell) = -23.3
- M_tot (μB per formula unit) = 0.0
- DFT formation energy (meV/atom) = 321

Unit cell a=11.470 b=11.470 c=11.470 alpha=15.64 beta=15.64 gamma=15.64
Positions (direct):
1 Dy 0.000 0.000 0.000
2 Zr 0.094 0.094 0.094
3 Zr 0.906 0.906 0.906
4 Ag 0.500 0.500 0.500